No. 1
# NaTbI2 | the Alexandria database | GGA-PBE | relaxed
# Total moment: 0.00 μB per atom
# Mass density: 4.6 g/cm³
# Energy: -3.1255 eV per atom
data_NaTbI2
_chemical_formula_sum 'Na3 Tb3 I6'
_symmetry_space_group_name_H-M 'R -3 m'
_symmetry_Int_Tables_number 166
_symmetry_space_group_name_Hall '-R 3 2"'
_cell_length_a 4.0359
_cell_length_b 4.0359
_cell_length_c 33.3197
_cell_angle_alpha 90.00
_cell_angle_beta 90.00
_cell_angle_gamma 120.00
loop_
_atom_site_label
_atom_site_fract_x
_atom_site_fract_y
_atom_site_fract_z
Na1 0.0000 0.0000 0.0000
Tb1 0.0000 0.0000 0.5000
I1 0.0000 0.0000 0.1048

=====

No. 2
# PuPtAuO6 | the Alexandria database | GGA-PBE | relaxed
# Total moment: 0.23 μB per atom
# Mass density: 10.0 g/cm³
# Energy: -7.0572 eV per atom
data_PuPtAuO6
_chemical_formula_sum 'Pu2 Pt2 Au2 O12'
_symmetry_space_group_name_H-M 'P -3 1 c'
_symmetry_Int_Tables_number 163
_symmetry_space_group_name_Hall '-P 3 2c'
_cell_length_a 5.3532
_cell_length_b 5.3532
_cell_length_c 9.7842
_cell_angle_alpha 90.00
_cell_angle_beta 90.00
_cell_angle_gamma 120.00
loop_
_atom_site_label
_atom_site_fract_x
_atom_site_fract_y
_atom_site_fract_z
Pu1 0.3333 0.6667 0.2500
Pt1 0.3333 0.6667 0.7500
Au1 0.0000 0.0000 0.0000
O1 0.0076 0.3570 0.6344

=====

No. 3
# Li2CdFe | the Alexandria database | GGA-PBE | relaxed
# Total moment: 0.56 μB per atom
# Mass density: 4.7 g/cm³
# Calculated formation energy: 0.157 eV/atom
data_Li2CdFe
_chemical_formula_sum 'Li6 Cd3 Fe3'
_symmetry_space_group_name_H-M 'R -3 m'
_symmetry_Int_Tables_number 166
_symmetry_space_group_name_Hall '-R 3 2"'
_cell_length_a 2.7834
_cell_length_b 2.7834
_cell_length_c 28.5631
_cell_angle_alpha 90.00
_cell_angle_beta 90.00
_cell_angle_gamma 120.00
loop_
_atom_site_label
_atom_site_fract_x
_atom_site_fract_y
_atom_site_fract_z
Li1 0.0000 0.0000 0.2432
Cd1 0.0000 0.0000 0.0000
Fe1 0.0000 0.0000 0.5000

=====

No. 4
# Ba2TlAg4Bi3 | the Alexandria database | GGA-PBE | relaxed
# Total moment: 0.00 μB per atom
# Mass density: 8.5 g/cm³
# Calculated formation energy: -0.367 eV/atom
data_Ba2TlAg4Bi3
_chemical_formula_sum 'Ba2 Tl1 Ag4 Bi3'
_symmetry_space_group_name_H-M 'P -4 m 2'
_symmetry_Int_Tables_number 115
_cell_length_a 4.996
_cell_length_b 4.996
_cell_length_c 12.013
_cell_angle_alpha 90.00
_cell_angle_beta 90.00
_cell_angle_gamma 90.00
loop_
_symmetry_equiv_pos_as_xyz
'x,y,z'
'y,-x,-z'
'-x,-y,z'
'-y,x,-z'
'-x,y,z'
'-y,-x,-z'
'x,-y,z'
'y,x,-z'
loop_
_atom_site_label
_atom_site_fract_x
_atom_site_fract_y
_atom_site_fract_z
Ba1 0.000 0.500 0.241
Tl1 0.000 0.000 0.500
Ag1 0.000 0.000 0.000
Ag2 0.000 0.500 0.633
Ag3 0.500 0.500 0.000
Bi1 0.000 0.500 0.868
Bi2 0.500 0.500 0.500

=====

No. 5
# Pm2Sm6Dy3In | the Alexandria database | GGA-PBE | relaxed
# Total moment: 0.00 μB per atom
# Mass density: 7.7 g/cm³
# Calculated formation energy: -0.051 eV/atom
data_Pm2Sm6Dy3In
_chemical_formula_sum 'Pm4 Sm12 Dy6 In2'
_symmetry_space_group_name_H-M 'C 1 2/m 1'
_symmetry_Int_Tables_number 12
_cell_length_a 6.170
_cell_length_b 10.706
_cell_length_c 11.833
_cell_angle_alpha 90.00
_cell_angle_beta 100.07
_cell_angle_gamma 90.00
loop_
_symmetry_equiv_pos_as_xyz
'x,y,z'
'-x,-y,-z'
'-x,y,-z'
'x,-y,z'
'x+1/2,y+1/2,z'
'-x+1/2,-y+1/2,-z'
'-x+1/2,y+1/2,-z'
'x+1/2,-y+1/2,z'
loop_
_atom_site_label
_atom_site_fract_x
_atom_site_fract_y
_atom_site_fract_z
Pm1 0.000 0.166 0.000
Sm1 0.243 0.500 0.749
Sm2 0.246 0.337 0.250
Dy1 0.000 0.000 0.500
Dy2 0.000 0.333 0.500
In1 0.000 0.500 0.000

=====

No. 6
# Rb3Ho2SbTe6 | the Alexandria database | GGA-PBE | relaxed
# Total moment: 0.00 μB per atom
# Mass density: 5.4 g/cm³
# Energy: -4.0083 eV per atom
data_Rb3Ho2SbTe6
_chemical_formula_sum 'Rb6 Ho4 Sb2 Te12'
_symmetry_space_group_name_H-M 'C 1 2/m 1'
_symmetry_Int_Tables_number 12
_cell_length_a 7.860
_cell_length_b 13.615
_cell_length_c 8.916
_cell_angle_alpha 90.00
_cell_angle_beta 107.09
_cell_angle_gamma 90.00
loop_
_symmetry_equiv_pos_as_xyz
'x,y,z'
'-x,-y,-z'
'-x,y,-z'
'x,-y,z'
'x+1/2,y+1/2,z'
'-x+1/2,-y+1/2,-z'
'-x+1/2,y+1/2,-z'
'x+1/2,-y+1/2,z'
loop_
_atom_site_label
_atom_site_fract_x
_atom_site_fract_y
_atom_site_fract_z
Rb1 0.000 0.000 0.000
Rb2 0.000 0.334 0.000
Ho1 0.000 0.167 0.500
Sb1 0.000 0.500 0.500
Te1 0.232 0.000 0.697
Te2 0.232 0.333 0.697

=====

No. 7
# SmGaPdAu | the Alexandria database | GGA-PBE | relaxed
# Total moment: 0.00 μB per atom
# Mass density: 10.8 g/cm³
# Calculated formation energy: -0.653 eV/atom
data_SmGaPdAu
_chemical_formula_sum 'Sm4 Ga4 Pd4 Au4'
_symmetry_space_group_name_H-M 'F -4 3 m'
_symmetry_Int_Tables_number 216
_symmetry_space_group_name_Hall 'F -4 2 3'
_cell_length_a 6.849
_cell_length_b 6.849
_cell_length_c 6.849
_cell_angle_alpha 90.00
_cell_angle_beta 90.00
_cell_angle_gamma 90.00
loop_
_atom_site_label
_atom_site_fract_x
_atom_site_fract_y
_atom_site_fract_z
Sm1 0.000 0.000 0.000
Ga1 0.000 0.000 0.500
Pd1 0.250 0.250 0.250
Au1 0.250 0.250 0.750

=====

No. 8
# Ce4Sm2Te3N2 | the Alexandria database | GGA-PBE | relaxed
# Total moment: 0.28 μB per atom
# Mass density: 7.4 g/cm³
# Energy: -6.5678 eV per atom
data_Ce4Sm2Te3N2
_chemical_formula_sum 'Ce8 Sm4 Te6 N4'
_symmetry_space_group_name_H-M 'I 4/m m m'
_symmetry_Int_Tables_number 139
_symmetry_space_group_name_Hall '-I 4 2'
_cell_length_a 4.620
_cell_length_b 4.620
_cell_length_c 26.684
_cell_angle_alpha 90.00
_cell_angle_beta 90.00
_cell_angle_gamma 90.00
loop_
_atom_site_label
_atom_site_fract_x
_atom_site_fract_y
_atom_site_fract_z
Ce1 0.000 0.500 0.087
Sm1 0.000 0.000 0.198
Te1 0.000 0.000 0.320
Te2 0.000 0.000 0.500
N1 0.000 0.000 0.108

=====

> The highest mass density belongs to which entry?

SmGaPdAu